First-principles (GGA-PBEsol) data for RbTcB3 after structural relaxation, as listed in the Alexandria database.

a b c (Å): 4.1669 4.1669 4.1669
angles (deg): 90.00 90.00 90.00
Each line ends with the local moment (μB).
Element x y z (fractional)
B1 0.0000 0.5000 0.0000  0.02
B2 0.0000 0.0000 0.5000  0.02
B3 0.5000 0.0000 0.0000  0.02
Tc1 0.5000 0.5000 0.5000  2.09
Rb1 0.0000 0.0000 0.0000  0.06

Summary:
Size of the total moment = 2.4 μB per cell
Energy relative to the elements = 3817.2 meV per atom
Space group = No. 221